(1)
CaMnFe2: optimized geometry, PBE-GGA.

Cell lengths 3.148, 3.147, 6.922 Å; angles 90.00, 90.00, 90.00 degrees
Each line ends with the local moment (μB).
Positions (direct):
Fe  0.500  0.500  0.228  2.58
Mn  0.000  0.000  0.433  3.50
Ca  0.500  0.500  0.767  -0.06
Fe  0.000  0.000  0.072  2.57

Output
For the excess energy over the best structure of this formula in the dataset, the calculation gives 21.1 kJ/mol of formula units. The formation energy comes out at 0.404 eV per atom. The value obtained for the calculated density is 5006 kg/m3. The calculation puts the total magnetization at 8.68 μB/f.u. The total energy is -6.62 eV per atom.



(2)
Cr2HRu: optimized geometry, PBE-GGA.

Cell lengths 2.614, 2.614, 7.660 Å; angles 80.18, 80.18, 60.00 degrees
Positions (direct):
H  0.000  0.000  0.000
Cr  0.928  0.928  0.217
Cr  0.072  0.072  0.783
Ru  0.500  0.500  0.500

Output
For the excess energy over the best structure of this formula in the dataset, the calculation gives 168.9 kJ/mol of formula units. The value obtained for the calculated density is 7701 kg/m3. The calculation puts the total magnetization at 0.00 μB/f.u. The total energy is -7.49 eV per atom.



(3)
AlInBr2: optimized geometry, PBE-GGA.

Cell lengths 6.420, 6.420, 6.156 Å; angles 75.38, 75.38, 31.92 degrees
Positions (direct):
In  0.583  0.583  0.449
Br  0.736  0.736  0.804
Al  0.261  0.261  0.113
Br  0.920  0.920  0.134

Output
For the excess energy over the best structure of this formula in the dataset, the calculation gives 16.6 kJ/mol of formula units. The value obtained for the calculated density is 3869 kg/m3. The calculation puts the total magnetization at 0.00 μB/f.u. The value obtained for the energy relative to the elements, uncorrected is -1.74 eV per formula unit. The total energy is -2.89 eV per atom.



(4)
Cu3Hg2: optimized geometry, PBE-GGA.

Cell lengths 13.368, 12.462, 5.218 Å; angles 88.31, 68.72, 22.97 degrees
Positions (direct):
Hg  0.633  0.991  0.477
Cu  0.995  0.005  0.005
Hg  0.898  0.477  0.991
Cu  0.245  0.255  0.255
Cu  0.493  0.668  0.358
Cu  0.892  0.769  0.757
Hg  0.773  0.352  0.617
Hg  0.259  0.617  0.352
Cu  0.481  0.358  0.668
Cu  0.582  0.757  0.769

Output
For the excess energy over the best structure of this formula in the dataset, the calculation gives 30.9 kJ/mol of formula units. The formation energy comes out at 0.238 eV per atom. The value obtained for the calculated density is 11405 kg/m3. The calculation puts the total magnetization at 0.00 μB/f.u. The total energy is -2.34 eV per atom.



(5)
BeP2Pt: optimized geometry, PBE-GGA.

Cell lengths 4.145, 4.145, 3.405 Å; angles 90.00, 90.00, 109.55 degrees
Positions (direct):
Be  0.000  0.500  0.500
P  0.500  0.500  0.000
Pt  0.500  0.000  0.500
P  0.000  0.000  0.000

Output
The formation energy comes out at 0.153 eV per atom. The value obtained for the calculated density is 8013 kg/m3. The calculation puts the total magnetization at 0.00 μB/f.u. The total energy is -4.99 eV per atom.



(6)
Na2SiGe3Pt4: optimized geometry, PBE-GGA.

Cell lengths 4.106, 4.106, 10.886 Å; angles 90.00, 90.00, 90.00 degrees
Positions (direct):
Pt  0.500  0.500  0.000
Pt  0.000  0.000  0.000
Ge  0.500  0.000  0.859
Si  0.500  0.500  0.500
Na  0.000  0.500  0.749
Pt  0.000  0.500  0.373
Na  0.500  0.000  0.251
Ge  0.000  0.000  0.500
Ge  0.000  0.500  0.141
Pt  0.500  0.000  0.627

Output
The value obtained for the calculated density is 9702 kg/m3. The calculation puts the total magnetization at 0.00 μB/f.u. The value obtained for the energy relative to the elements, uncorrected is -5.06 eV per formula unit. The total energy is -5.11 eV per atom.



(7)
SrCrRe2: optimized geometry, PBE-GGA.

Cell lengths 5.351, 5.592, 2.673 Å; angles 81.37, 79.30, 115.73 degrees
Positions (direct):
Cr  0.500  0.500  0.000
Re  0.500  0.000  0.500
Re  0.000  0.000  0.000
Sr  0.000  0.500  0.500

Output
For the excess energy over the best structure of this formula in the dataset, the calculation gives 204.1 kJ/mol of formula units. The formation energy comes out at 1.152 eV per atom. The value obtained for the calculated density is 12439 kg/m3. The calculation puts the total magnetization at 0.01 μB/f.u. The total energy is -7.90 eV per atom.



(8)
SrCaInAs2: optimized geometry, PBE-GGA.

Cell lengths 4.646, 6.664, 8.891 Å; angles 89.97, 90.00, 90.00 degrees
Positions (direct):
In  0.000  0.000  0.500
As  0.498  0.693  0.500
As  0.498  0.307  0.000
As  0.502  0.693  0.000
In  0.000  0.000  0.000
Ca  0.500  0.000  0.250
Sr  0.000  0.500  0.250
Sr  0.000  0.500  0.750
Ca  0.500  0.000  0.750
As  0.502  0.307  0.500

Output
The formation energy comes out at -0.744 eV per atom. The value obtained for the calculated density is 4733 kg/m3. The calculation puts the total magnetization at 0.00 μB/f.u. The total energy is -3.89 eV per atom.



(9)
Pr7Sn4C: optimized geometry, PBE-GGA.

Cell lengths 5.308, 9.715, 8.629 Å; angles 76.71, 72.09, 74.15 degrees
Positions (direct):
Pr  0.361  0.541  0.737
Pr  0.066  0.750  0.117
C  0.000  0.000  0.000
Pr  0.785  0.866  0.564
Sn  0.723  0.656  0.898
Pr  0.215  0.134  0.436
Sn  0.580  0.223  0.618
Pr  0.500  0.000  0.000
Sn  0.277  0.344  0.102
Pr  0.934  0.250  0.883
Pr  0.639  0.459  0.263
Sn  0.420  0.777  0.382

Output
The formation energy comes out at -0.357 eV per atom. The value obtained for the calculated density is 6084 kg/m3. The calculation puts the total magnetization at 0.00 μB/f.u. The total energy is -5.25 eV per atom.



(10)
MgPb6: optimized geometry, PBE-GGA.

Cell lengths 5.647, 5.647, 8.357 Å; angles 70.26, 70.26, 60.00 degrees
Positions (direct):
Pb  0.281  0.281  0.157
Pb  0.136  0.136  0.593
Pb  0.719  0.719  0.843
Pb  0.426  0.426  0.721
Pb  0.574  0.574  0.279
Mg  0.000  0.000  0.000
Pb  0.864  0.864  0.407

Output
For the excess energy over the best structure of this formula in the dataset, the calculation gives 0.0 kJ/mol of formula units. The formation energy comes out at 0.035 eV per atom. The value obtained for the calculated density is 9905 kg/m3. The calculation puts the total magnetization at 0.00 μB/f.u. The total energy is -3.37 eV per atom.



(11)
GdTcB: optimized geometry, PBE-GGA.

Cell lengths 4.174, 3.744, 3.744 Å; angles 120.00, 90.00, 90.00 degrees
Each line ends with the local moment (μB).
Positions (direct):
Tc  0.167  0.667  0.333  0.09
Gd  0.667  0.333  0.667  -6.96
B  0.167  0.000  0.000  0.02

Output
The formation energy comes out at -0.190 eV per atom. The value obtained for the calculated density is 8721 kg/m3. The calculation puts the total magnetization at 6.93 μB/f.u. The total energy is -10.56 eV per atom.



(12)
KBa2Sr2: optimized geometry, PBE-GGA.

Cell lengths 5.418, 5.418, 12.149 Å; angles 77.12, 77.12, 90.00 degrees
Positions (direct):
Sr  0.250  0.750  0.500
K  0.000  0.000  0.000
Sr  0.750  0.250  0.500
Ba  0.601  0.601  0.798
Ba  0.399  0.399  0.202

Output
For the excess energy over the best structure of this formula in the dataset, the calculation gives 98.5 kJ/mol of formula units. The formation energy comes out at 0.243 eV per atom. The value obtained for the calculated density is 2399 kg/m3. The calculation puts the total magnetization at 0.00 μB/f.u. The total energy is -1.42 eV per atom.



> Which value of total magnetization does entry 5 give?

0.00 μB/f.u.



> What is the formula in the twelfth record?

KBa2Sr2